DFT (PBE-GGA) results for a relaxed structure of Dy4NiGe3.

a b c (Å): 4.020 4.158 10.711
angles (deg): 90.00 90.00 90.00
Space group Pmm2 (No. 25)
Asymmetric unit:
Dy (0.000, 0.000, 0.000) x1
Dy (0.000, 0.500, 0.486) x1
Dy (0.500, 0.000, 0.711) x1
Dy (0.500, 0.500, 0.218) x1
Ni (0.000, 0.000, 0.277) x1
Ge (0.000, 0.500, 0.768) x1
Ge (0.500, 0.000, 0.428) x1
Ge (0.500, 0.500, 0.934) x1

Summary:
Its total energy is -5.507 eV/atom.